No. 1
## Ba3Li9Ag2 (PBE-GGA)

Data for crystalline Ba3Li9Ag2 at its relaxed geometry.

Computed properties:
SG: Immm
Fermi-level density of states, states/eV/atom: 0.7196

```
data_Ba3Li9Ag2
_cell_length_a 4.811
_cell_length_b 9.498
_cell_length_c 9.498
_cell_angle_alpha 73.23
_cell_angle_beta 75.33
_cell_angle_gamma 75.33
_symmetry_space_group_name_H-M 'P 1'
_symmetry_Int_Tables_number 1
_symmetry_space_group_name_Hall 'P 1'
loop_
_atom_site_label
_atom_site_type_symbol
_atom_site_fract_x
_atom_site_fract_y
_atom_site_fract_z
Ag1 Ag 0.500 0.724 0.276
Ag2 Ag 0.500 0.276 0.724
Li1 Li 0.897 0.824 0.383
Li2 Li 0.897 0.383 0.824
Li3 Li 0.681 0.989 0.648
Li4 Li 0.103 0.176 0.617
Li5 Li 0.681 0.648 0.989
Li6 Li 0.103 0.617 0.176
Li7 Li 0.319 0.011 0.352
Li8 Li 0.319 0.352 0.011
Li9 Li 0.000 0.500 0.500
Ba1 Ba 0.680 0.320 0.320
Ba2 Ba 0.320 0.680 0.680
Ba3 Ba 0.000 0.000 0.000
```

=====

No. 2
## BaLi3Ag (PBE-GGA)

Data for crystalline BaLi3Ag at its relaxed geometry.

Computed properties:
Offset from the most stable computed form, eV/atom: 0.065
SG: P6_3/mmc
Fermi-level density of states, states/eV/atom: 0.6125

```
data_BaLi3Ag
_cell_length_a 6.358
_cell_length_b 7.118
_cell_length_c 7.117
_cell_angle_alpha 120.02
_cell_angle_beta 90.00
_cell_angle_gamma 90.00
_symmetry_space_group_name_H-M 'P 1'
_symmetry_Int_Tables_number 1
_symmetry_space_group_name_Hall 'P 1'
loop_
_atom_site_label
_atom_site_type_symbol
_atom_site_fract_x
_atom_site_fract_y
_atom_site_fract_z
Li1 Li 0.250 0.352 0.176
Li2 Li 0.750 0.176 0.352
Li3 Li 0.750 0.648 0.824
Li4 Li 0.750 0.176 0.824
Li5 Li 0.250 0.824 0.648
Li6 Li 0.250 0.824 0.176
Ba1 Ba 0.750 0.667 0.333
Ba2 Ba 0.250 0.333 0.667
Ag1 Ag 0.500 0.000 0.000
Ag2 Ag 0.000 0.000 0.000
```

=====

No. 3
## BaLi8Ag2 (PBE-GGA)

Data for crystalline BaLi8Ag2 at its relaxed geometry.

Computed properties:
SG: I4/mmm
Fermi-level density of states, states/eV/atom: 0.5734

```
data_BaLi8Ag2
_cell_length_a 5.715
_cell_length_b 5.715
_cell_length_c 10.676
_cell_angle_alpha 105.53
_cell_angle_beta 105.53
_cell_angle_gamma 90.00
_symmetry_space_group_name_H-M 'P 1'
_symmetry_Int_Tables_number 1
_symmetry_space_group_name_Hall 'P 1'
loop_
_atom_site_label
_atom_site_type_symbol
_atom_site_fract_x
_atom_site_fract_y
_atom_site_fract_z
Ag1 Ag 0.750 0.250 0.500
Ag2 Ag 0.250 0.750 0.500
Li1 Li 0.412 0.412 0.323
Li2 Li 0.089 0.588 0.677
Li3 Li 0.089 0.089 0.677
Li4 Li 0.588 0.588 0.677
Li5 Li 0.412 0.911 0.323
Li6 Li 0.911 0.911 0.323
Li7 Li 0.911 0.412 0.323
Li8 Li 0.588 0.089 0.677
Ba1 Ba 0.500 0.500 0.000
```

=====

No. 4
## BaLiAg (PBE-GGA)

Data for crystalline BaLiAg at its relaxed geometry.

Computed properties:
Offset from the most stable computed form, eV/atom: 0.011
SG: P2_1/c
Fermi-level density of states, states/eV/atom: 0.5569

```
data_BaLiAg
_cell_length_a 6.550
_cell_length_b 6.796
_cell_length_c 8.912
_cell_angle_alpha 112.24
_cell_angle_beta 90.00
_cell_angle_gamma 90.00
_symmetry_space_group_name_H-M 'P 1'
_symmetry_Int_Tables_number 1
_symmetry_space_group_name_Hall 'P 1'
loop_
_atom_site_label
_atom_site_type_symbol
_atom_site_fract_x
_atom_site_fract_y
_atom_site_fract_z
Ag1 Ag 0.131 0.785 0.467
Ag2 Ag 0.369 0.785 0.967
Ag3 Ag 0.631 0.215 0.033
Ag4 Ag 0.869 0.215 0.533
Ba1 Ba 0.628 0.810 0.630
Ba2 Ba 0.872 0.810 0.130
Ba3 Ba 0.128 0.190 0.870
Ba4 Ba 0.372 0.190 0.370
Li1 Li 0.603 0.412 0.806
Li2 Li 0.897 0.412 0.306
Li3 Li 0.103 0.588 0.694
Li4 Li 0.397 0.588 0.194
```

=====

No. 5
## Ba3LiAg3 (PBE-GGA)

Data for crystalline Ba3LiAg3 at its relaxed geometry.

Computed properties:
SG: C2/m
Fermi-level density of states, states/eV/atom: 0.7342

```
data_Ba3LiAg3
_cell_length_a 4.764
_cell_length_b 6.753
_cell_length_c 16.098
_cell_angle_alpha 85.30
_cell_angle_beta 81.49
_cell_angle_gamma 69.34
_symmetry_space_group_name_H-M 'P 1'
_symmetry_Int_Tables_number 1
_symmetry_space_group_name_Hall 'P 1'
loop_
_atom_site_label
_atom_site_type_symbol
_atom_site_fract_x
_atom_site_fract_y
_atom_site_fract_z
Ag1 Ag 0.130 0.283 0.457
Ag2 Ag 0.895 0.130 0.079
Ag3 Ag 0.955 0.855 0.236
Ag4 Ag 0.045 0.145 0.764
Ag5 Ag 0.870 0.717 0.543
Ag6 Ag 0.105 0.870 0.921
Ba1 Ba 0.471 0.674 0.385
Ba2 Ba 0.399 0.281 0.921
Ba3 Ba 0.529 0.326 0.615
Ba4 Ba 0.255 0.256 0.234
Ba5 Ba 0.601 0.719 0.079
Ba6 Ba 0.745 0.744 0.766
Li1 Li 0.756 0.070 0.418
Li2 Li 0.244 0.930 0.582
```

=====

No. 6
## Ba3Li2Ag4 (PBE-GGA)

Data for crystalline Ba3Li2Ag4 at its relaxed geometry.

Computed properties:
SG: C2/m
Fermi-level density of states, states/eV/atom: 0.5211

```
data_Ba3Li2Ag4
_cell_length_a 4.945
_cell_length_b 6.548
_cell_length_c 9.596
_cell_angle_alpha 106.81
_cell_angle_beta 90.00
_cell_angle_gamma 112.18
_symmetry_space_group_name_H-M 'P 1'
_symmetry_Int_Tables_number 1
_symmetry_space_group_name_Hall 'P 1'
loop_
_atom_site_label
_atom_site_type_symbol
_atom_site_fract_x
_atom_site_fract_y
_atom_site_fract_z
Li1 Li 0.322 0.644 0.656
Li2 Li 0.678 0.356 0.344
Ag1 Ag 0.723 0.446 0.067
Ag2 Ag 0.277 0.554 0.933
Ag3 Ag 0.906 0.813 0.582
Ag4 Ag 0.094 0.187 0.418
Ba1 Ba 0.000 0.000 0.000
Ba2 Ba 0.367 0.734 0.307
Ba3 Ba 0.633 0.266 0.693
```

=====

Number 1: energy of formation -0.048 eV per atom, total DFT energy (no corrections) -29.37 eV/cell. Number 2: energy of formation -0.017 eV per atom, total DFT energy (no corrections) -21.20 eV/cell. Number 3: energy of formation 0.121 eV per atom, total DFT energy (no corrections) -21.61 eV/cell. Number 4: energy of formation -0.174 eV per atom, total DFT energy (no corrections) -28.84 eV/cell. Number 5: energy of formation -0.233 eV per atom, total DFT energy (no corrections) -35.73 eV/cell. Number 6: energy of formation -0.221 eV per atom, total DFT energy (no corrections) -22.99 eV/cell.